This record from Alexandria describes an optimized crystal structure of DyErAg6. The functional is PBE-GGA.

Cell: 4.4517 5.1913 8.1691 Å, 80.13 74.19 64.61°
With the nearest neighbours (Å) after each atom.
Element x y z (fractional)
Dy: 0.0000 0.5000 0.5000  12 Ag 3.04-3.15
Er: 0.0000 0.0000 0.0000  12 Ag 3.03-3.14
Ag: 0.2500 0.8735 0.6266  1 Er 3.03, 8 Ag 3.03-3.17, 3 Dy 3.04
Ag: 0.5010 0.2473 0.7508  8 Ag 3.02-3.05, 2 Er 3.14, 2 Dy 3.15
Ag: 0.2508 0.3749 0.1234  8 Ag 3.02-3.14, 3 Er 3.03, 1 Dy 3.05
Ag: 0.4990 0.7527 0.2492  8 Ag 3.02-3.05, 2 Er 3.14, 2 Dy 3.15
Ag: 0.7500 0.1265 0.3734  1 Er 3.03, 8 Ag 3.03-3.17, 3 Dy 3.04
Ag: 0.7492 0.6251 0.8766  8 Ag 3.02-3.14, 3 Er 3.03, 1 Dy 3.05

Computed properties:
Its density of states at the Fermi level is 0.60 states/eV per atom. The calculation puts the total energy at -3.500 eV/atom. Its energy of formation from the pure elements is -1.729 eV/f.u.

=====

This record from Alexandria describes an optimized crystal structure of Ca4TaTl. The functional is PBE-GGA.

Cell: 6.4448 6.4448 6.4448 Å, 60.00 60.00 60.00°
With the nearest neighbours (Å) after each atom.
Element x y z (fractional)
Ca: 0.8737 0.3754 0.3754  6 Ca 3.21-3.23
Ca: 0.3754 0.3754 0.8737  6 Ca 3.21-3.23
Ca: 0.3754 0.8737 0.3754  6 Ca 3.21-3.23
Ca: 0.3754 0.3754 0.3754  6 Ca 3.21-3.23
Ta: 0.7500 0.7500 0.7500  12 Ca 3.78, 4 Tl 3.95
Tl: 0.0000 0.0000 0.0000  12 Ca 3.78, 4 Ta 3.95

Computed properties:
Its density of states at the Fermi level is 0.49 states/eV per atom. The calculation puts the total energy at -2.906 eV/atom. Its energy of formation from the pure elements is 4.789 eV/f.u.

=====

This record from Alexandria describes an optimized crystal structure of Ce2MnNbN5. The functional is PBE-GGA.

Cell: 3.2729 6.9947 10.0829 Å, 90.00 90.00 103.53°
With the nearest neighbours (Å) after each atom.
Element x y z (fractional)
Ce: 0.8621 0.7241 0.8248  7 N 2.46-2.54
Ce: 0.1186 0.2372 0.6902  8 N 2.48-2.61
Ce: 0.1379 0.2759 0.3248  7 N 2.46-2.54
Ce: 0.8814 0.7628 0.1902  8 N 2.48-2.61
Mn: 0.5461 0.0922 0.9457  4 N 1.78-1.96
Mn: 0.4539 0.9078 0.4457  4 N 1.78-1.96
Nb: 0.8027 0.6054 0.5194  5 N 2.00-2.23
Nb: 0.1973 0.3946 0.0194  5 N 2.00-2.23
N: 0.3437 0.6874 0.0068  1 Nb 2.00
N: 0.6789 0.3578 0.8716  1 Mn 1.96
N: 0.4976 0.9952 0.7816  1 Mn 1.78
N: 0.2995 0.5991 0.6637  2 Nb 2.19
N: 0.9737 0.9475 0.5201  2 Mn 1.82
N: 0.6563 0.3126 0.5068  1 Nb 2.00
N: 0.3211 0.6422 0.3716  1 Mn 1.96
N: 0.5024 0.0048 0.2816  1 Mn 1.78
N: 0.7005 0.4009 0.1637  2 Nb 2.19
N: 0.0263 0.0525 0.0201  2 Mn 1.82

Computed properties:
Its density of states at the Fermi level is 0.63 states/eV per atom. The formation energy without anion corrections is -1.05 eV/atom. The calculation puts the total energy at -9.136 eV/atom.